[1]
Computed, not measured: a relaxed structure of K2YCd at the PBE level of DFT.

## Properties
The total energy comes out at -2.001 eV per atom. The space group is I-4m2 (119). The formation energy comes out at 0.393 eV/atom.

abc: 5.950 5.950 5.950
angles: 119.88 119.88 90.20
Last column: magnetic moment on the atom in μB.
Fractional coordinates of all 4 atoms:
Cd (0.750, 0.250, 0.500)  0.03
K (0.000, 0.000, 0.000)  0.01
K (0.250, 0.750, 0.500)  0.01
Y (0.500, 0.500, 0.000)  0.20

=====

[2]
Computed, not measured: a relaxed structure of Ti2MnI8 at the PBE level of DFT.

## Properties
The total energy comes out at -3.986 eV per atom. The formation energy without anion corrections comes out at -590 meV/atom. The space group is C2/m (12).

abc: 6.944 8.783 8.783
angles: 79.39 90.15 90.15
Last column: magnetic moment on the atom in μB.
Fractional coordinates of all 11 atoms:
Ti (0.647, 0.814, 0.814)  -0.78
Ti (0.353, 0.186, 0.186)  -0.78
Mn (0.000, 0.000, 0.000)  4.14
I (0.215, 0.282, 0.904)  0.04
I (0.785, 0.096, 0.718)  0.04
I (0.268, 0.822, 0.822)  0.04
I (0.732, 0.178, 0.178)  0.04
I (0.215, 0.904, 0.282)  0.04
I (0.785, 0.718, 0.096)  0.04
I (0.744, 0.630, 0.630)  0.03
I (0.256, 0.370, 0.370)  0.03

=====

[3]
Computed, not measured: a relaxed structure of CaZnCr2H at the PBE level of DFT.

## Properties
The total energy comes out at -3.897 eV per atom. The space group is P4/mmm (123).

abc: 5.582 3.641 5.582
angles: 90.00 90.00 90.00
Last column: magnetic moment on the atom in μB.
Fractional coordinates of all 5 atoms:
Cr (0.000, 0.000, 0.500)  4.06
Cr (0.500, 0.000, 0.000)  4.13
Zn (0.500, 0.500, 0.500)  -0.04
Ca (0.000, 0.000, 0.000)  0.13
H (0.000, 0.500, 0.000)  0.03

=====

[4]
Computed, not measured: a relaxed structure of KZr3Hg at the PBE level of DFT.

## Properties
The total energy comes out at -4.294 eV per atom. The space group is Pm-3m (221). The distance to the lowest polymorph of the same formula is 0.000 eV/atom. The formation energy comes out at 1.115 eV/atom.

abc: 5.460 5.460 5.460
angles: 90.00 90.00 90.00
Last column: magnetic moment on the atom in μB.
Fractional coordinates of all 5 atoms:
K (0.500, 0.500, 0.500)  0.01
Hg (0.000, 0.000, 0.000)  0.02
Zr (0.000, 0.500, 0.000)  0.24
Zr (0.000, 0.000, 0.500)  0.17
Zr (0.500, 0.000, 0.000)  0.26

=====

[5]
Computed, not measured: a relaxed structure of Ti5S5N at the PBE level of DFT.

## Properties
The total energy comes out at -7.605 eV per atom. The formation energy without anion corrections comes out at -1383 meV/atom. The space group is C2/m (12).

abc: 4.809 5.946 6.877
angles: 106.81 90.00 113.86
Fractional coordinates of all 11 atoms:
Ti (0.859, 0.717, 0.146)
Ti (0.867, 0.733, 0.720)
Ti (0.500, 0.000, 0.000)
Ti (0.133, 0.267, 0.280)
Ti (0.141, 0.283, 0.854)
S (0.677, 0.354, 0.331)
S (0.670, 0.340, 0.828)
S (0.000, 0.000, 0.500)
S (0.330, 0.660, 0.172)
S (0.323, 0.646, 0.669)
N (0.000, 0.000, 0.000)

=====

[6]
Computed, not measured: a relaxed structure of SiSbW2 at the PBE level of DFT.

## Properties
The total energy comes out at -8.524 eV per atom. The formation energy without anion corrections comes out at 339 meV/atom. The space group is P4/mmm (123). The distance to the lowest polymorph of the same formula is 0.172 eV/atom.

abc: 3.186 3.186 6.587
angles: 90.00 90.00 90.00
Fractional coordinates of all 4 atoms:
Sb (0.500, 0.500, 0.250)
Si (0.500, 0.500, 0.750)
W (0.000, 0.000, 0.955)
W (0.000, 0.000, 0.545)